# DyNbGa

A relaxed DyNbGa crystal (PBE-GGA, OQMD).

Structure (POSCAR):
```
DyNbGa
1.0
6.5304 0.0000 0.0000
0.0000 6.5304 0.0000
0.0000 0.0000 6.5304
Dy Nb Ga
4 4 4
direct
0.0000 0.0000 0.0000
0.0000 0.5000 0.5000
0.5000 0.0000 0.5000
0.5000 0.5000 0.0000
0.0000 0.0000 0.5000
0.0000 0.5000 0.0000
0.5000 0.0000 0.0000
0.5000 0.5000 0.5000
0.2500 0.2500 0.2500
0.2500 0.7500 0.7500
0.7500 0.2500 0.7500
0.7500 0.7500 0.2500
```

Results
The energy comes out at -5.7283 eV/atom. As for the excess energy over the best structure of this formula in the dataset: 0.00 kcal/mol of atoms.